[1]
A plane-wave DFT calculation with PBE-GGA was carried out for crystalline Tb12Dy6Tl at its relaxed geometry.

abc: 15.4028 15.4028 8.6615
angles: 90.00 90.00 120.00
Space group R-3 (No. 148, hexagonal axes)
Asymmetric unit:
Tb (0.0351, 0.2833, 0.3372) (multiplicity 18)
Tb (0.0709, 0.5615, 0.6645) (multiplicity 18)
Dy (0.0181, 0.1393, 0.6664) (multiplicity 18)
Tl (0.0000, 0.0000, 0.0000) (multiplicity 3)

DOS at the Fermi energy, states/eV/atom: 1.3131
Magnetization, μB/cell: 0.0
Polymorph energy (0 for the lowest one), kJ/mol of formula units: 0

=====

[2]
A plane-wave DFT calculation with PBE-GGA was carried out for crystalline Tb3Dy2Tl at its relaxed geometry.

abc: 6.432 10.162 5.757
angles: 90.00 90.00 90.00
Space group Imm2 (No. 44)
Asymmetric unit:
Tb (0.000, 0.000, 0.000) (multiplicity 2)
Tb (0.000, 0.344, 0.999) (multiplicity 4)
Dy (0.000, 0.183, 0.500) (multiplicity 4)
Tl (0.000, 0.500, 0.499) (multiplicity 2)

DOS at the Fermi energy, states/eV/atom: 1.5315
Magnetization, μB/cell: 0.0
Polymorph energy (0 for the lowest one), kJ/mol of formula units: 197

=====

[3]
A plane-wave DFT calculation with PBE-GGA was carried out for crystalline TbDyTl at its relaxed geometry.

abc: 9.505 9.579 4.943
angles: 90.00 90.00 90.00
Space group Cmmm (No. 65)
Asymmetric unit:
Tb (0.000, 0.188, 0.000) (multiplicity 4)
Dy (0.187, 0.500, 0.500) (multiplicity 4)
Tl (0.000, 0.000, 0.500) (multiplicity 2)
Tl (0.000, 0.500, 0.000) (multiplicity 2)

DOS at the Fermi energy, states/eV/atom: 1.2492
Magnetization, μB/cell: 3.9
Polymorph energy (0 for the lowest one), kJ/mol of formula units: 140

=====

[4]
A plane-wave DFT calculation with PBE-GGA was carried out for crystalline TbDy3Tl at its relaxed geometry.

abc: 4.820 25.364 4.803
angles: 90.00 90.00 90.00
Space group Cmcm (No. 63)
Asymmetric unit:
Tb (0.000, 0.149, 0.250) (multiplicity 4)
Dy (0.000, 0.048, 0.750) (multiplicity 4)
Dy (0.000, 0.250, 0.750) (multiplicity 4)
Dy (0.000, 0.448, 0.750) (multiplicity 4)
Tl (0.000, 0.347, 0.250) (multiplicity 4)

DOS at the Fermi energy, states/eV/atom: 1.2088
Magnetization, μB/cell: 0.0
Polymorph energy (0 for the lowest one), kJ/mol of formula units: 0

=====

[5]
A plane-wave DFT calculation with PBE-GGA was carried out for crystalline Tb6DyTl2 at its relaxed geometry.

abc: 12.854 3.751 11.953
angles: 90.00 108.03 90.00
Space group C2/m (No. 12)
Asymmetric unit:
Tb (0.014, 0.000, 0.345) (multiplicity 4)
Tb (0.185, 0.500, 0.876) (multiplicity 4)
Tb (0.191, 0.500, 0.586) (multiplicity 4)
Dy (0.000, 0.000, 0.000) (multiplicity 2)
Tl (0.139, 0.500, 0.204) (multiplicity 4)

DOS at the Fermi energy, states/eV/atom: 1.2716
Magnetization, μB/cell: 0.0
Polymorph energy (0 for the lowest one), kJ/mol of formula units: 0

=====

[6]
A plane-wave DFT calculation with PBE-GGA was carried out for crystalline Tb5DyTl2 at its relaxed geometry.

abc: 3.611 10.575 12.668
angles: 90.00 90.00 90.00
Space group Immm (No. 71)
Asymmetric unit:
Tb (0.000, 0.000, 0.000) (multiplicity 2)
Tb (0.000, 0.272, 0.366) (multiplicity 8)
Dy (0.000, 0.500, 0.000) (multiplicity 2)
Tl (0.000, 0.000, 0.263) (multiplicity 4)

DOS at the Fermi energy, states/eV/atom: 1.3673
Magnetization, μB/cell: 0.0
Polymorph energy (0 for the lowest one), kJ/mol of formula units: 0